# CsTaSb2I

A relaxed structure of CsTaSb2I (PBE, Alexandria via LeMat-Bulk).

a b c (Å): 5.392 5.392 6.198
angles (deg): 90.00 90.00 90.00
Sites, in units of the cell vectors:
Cs1 0.000 0.000 0.000
Ta1 0.500 0.500 0.500
Sb1 0.000 0.500 0.500
Sb2 0.500 0.000 0.500
I1 0.500 0.500 0.000

Computed properties:
Theoretical density = 6.3 g cm⁻³
Magnetization = 0.01 μB/cell
E above lowest polymorph = 0 meV per atom
DOS(E_F) = 0.65 states/eV per atom
DFT total energy = -4.627 eV/atom
Raw formation energy = -0.127 eV per atom